Er5Hg2Sb | GGA-PBE | relaxed

Lattice parameters (Å, degrees): 8.169 8.169 12.959 90.00 90.00 90.00
Space group I4/mcm (No. 140)
Asymmetric unit:
Er  0.000  0.000  0.000 x4
Er  0.154  0.346  0.148 x16
Hg  0.140  0.360  0.500 x8
Sb  0.000  0.000  0.250 x4

Summary:
E_form (uncorrected): -0.543 eV per atom
VASP energy: -31.88 eV per formula unit
spin magnetization: 0.000 μB/f.u.



Er4HgSb | GGA-PBE | relaxed

Lattice parameters (Å, degrees): 7.076 7.320 7.323 90.00 90.32 90.00
Space group P2_1/c (No. 14)
Asymmetric unit:
Er  0.149  0.163  0.337 x4
Er  0.348  0.649  0.349 x4
Hg  0.000  0.000  0.000 x2
Sb  0.500  0.000  0.500 x2

Summary:
E_form (uncorrected): -0.244 eV per atom
VASP energy: -24.14 eV per formula unit
spin magnetization: 0.000 μB/f.u.



ErHgSb | GGA-PBE | relaxed

Lattice parameters (Å, degrees): 3.471 6.088 7.974 109.03 90.10 90.00
Space group P-1 (No. 2)
Asymmetric unit:
Er  0.001  0.111  0.287 x2
Hg  0.496  0.676  0.382 x2
Sb  0.500  0.260  0.009 x2

Summary:
E_form (uncorrected): -0.422 eV per atom
distance to the lowest polymorph of the same formula: 0.080 eV/atom
VASP energy: -10.25 eV per formula unit
spin magnetization: 0.000 μB/f.u.



ErHgSb | GGA-PBE | relaxed

Lattice parameters (Å, degrees): 4.5763 4.5763 4.5480 90.00 90.00 120.00
Space group P3m1 (No. 156)
Asymmetric unit:
Er  0.0000  0.0000  0.0000 x1
Hg  0.3333  0.6667  0.3122 x1
Sb  0.6667  0.3333  0.6268 x1

Summary:
E_form (uncorrected): -0.502 eV per atom
distance to the lowest polymorph of the same formula: 0.000 eV/atom
VASP energy: -10.49 eV per formula unit
spin magnetization: 0.000 μB/f.u.



Er4HgSbTe2 | GGA-PBE | relaxed

Lattice parameters (Å, degrees): 7.507 4.211 7.642 90.00 108.20 90.00
Space group P2/m (No. 10)
Asymmetric unit:
Er  0.242  0.000  0.238 x2
Er  0.249  0.500  0.762 x2
Hg  0.000  0.500  0.000 x1
Sb  0.500  0.000  0.000 x1
Te  0.000  0.000  0.500 x1
Te  0.500  0.500  0.500 x1

Summary:
E_form (uncorrected): -0.997 eV per atom
VASP energy: -36.93 eV per formula unit
spin magnetization: 0.000 μB/f.u.



ErThHgSb | GGA-PBE | relaxed

Lattice parameters (Å, degrees): 7.584 7.584 7.584 90.00 90.00 90.00
Space group F-43m (No. 216)
Asymmetric unit:
Er  0.000  0.000  0.000 x4
Th  0.000  0.000  0.500 x4
Hg  0.250  0.250  0.250 x4
Sb  0.250  0.250  0.750 x4

Summary:
E_form (uncorrected): -0.491 eV per atom
VASP energy: -18.37 eV per formula unit
spin magnetization: 0.000 μB/f.u.



Er8ScHg2 | GGA-PBE | relaxed

Lattice parameters (Å, degrees): 8.732 14.657 5.400 90.00 110.77 90.00
Space group C2/m (No. 12)
Asymmetric unit:
Er  0.000  0.220  0.000 x4
Er  0.111  0.500  0.802 x4
Er  0.205  0.114  0.606 x8
Sc  0.000  0.000  0.000 x2
Hg  0.000  0.306  0.500 x4

Summary:
E_form: -0.046 eV per atom
VASP energy: -43.94 eV per formula unit
spin magnetization: 0.001 μB/f.u.



Er4ScHg | GGA-PBE | relaxed

Lattice parameters (Å, degrees): 8.531 13.775 6.186 90.00 108.88 90.00
Space group C2/c (No. 15)
Asymmetric unit:
Er  0.099  0.191  0.047 x8
Er  0.209  0.394  0.364 x8
Sc  0.000  0.397  0.750 x4
Hg  0.000  0.001  0.250 x4

Summary:
E_form: -0.020 eV per atom
VASP energy: -25.00 eV per formula unit
spin magnetization: 0.000 μB/f.u.